No. 1
Density functional theory data (PBE) for ReSb2As after structural relaxation.

Cell lengths 3.175, 3.175, 8.551 Å; angles 90.00, 90.00, 90.00 degrees
Space group P4mm (No. 99)
Symmetry-distinct sites (fractional):
Re  0.000  0.000  0.000 [1 per cell]
Sb  0.000  0.000  0.550 [1 per cell]
Sb  0.500  0.500  0.209 [1 per cell]
As  0.500  0.500  0.839 [1 per cell]

crystal system	tetragonal
volume	86.2	Å³ per cell
formation energy (no corrections)	0.2418	eV/atom
total moment	0.0	μB/f.u.

=====

No. 2
Density functional theory data (PBE) for Be2Tl2RuO6 after structural relaxation.

Cell lengths 5.3793, 5.3793, 17.3593 Å; angles 90.00, 90.00, 120.00 degrees
Space group R-3m (No. 166, hexagonal axes)
Symmetry-distinct sites (fractional):
Be  0.0000  0.0000  0.1045 [6 per cell]
Tl  0.0000  0.0000  0.2869 [6 per cell]
Ru  0.0000  0.0000  0.5000 [3 per cell]
O  0.0019  0.5009  0.7666 [18 per cell]

crystal system	trigonal
volume	435.0	Å³ per cell
formation energy (no corrections)	-1.3464	eV/atom
total moment	1.7	μB/f.u.

=====

No. 3
Density functional theory data (PBE) for Nd2LuPd after structural relaxation.

Cell lengths 3.6602, 3.6602, 32.3114 Å; angles 90.00, 90.00, 120.00 degrees
Space group R-3m (No. 166, hexagonal axes)
Symmetry-distinct sites (fractional):
Nd  0.0000  0.0000  0.1046 [6 per cell]
Lu  0.0000  0.0000  0.0000 [3 per cell]
Pd  0.0000  0.0000  0.5000 [3 per cell]

crystal system	trigonal
offset from the most stable computed form	29.0	kJ per mole of atoms
ΔE_f	-0.0137	eV per atom
volume	374.9	Å³ per cell
total moment	0.0	μB/f.u.

=====

No. 4
Density functional theory data (PBE) for Zn2RhPb after structural relaxation.

Cell lengths 3.1528, 3.1528, 26.9544 Å; angles 90.00, 90.00, 120.00 degrees
Space group R-3m (No. 166, hexagonal axes)
Symmetry-distinct sites (fractional):
Zn  0.0000  0.0000  0.2339 [6 per cell]
Rh  0.0000  0.0000  0.5000 [3 per cell]
Pb  0.0000  0.0000  0.0000 [3 per cell]

crystal system	trigonal
ΔE_f	0.0501	eV per atom
volume	232.0	Å³ per cell
total moment	0.0	μB/f.u.

=====

No. 5
Density functional theory data (PBE) for TbNd2Mg4 after structural relaxation.

Cell lengths 5.460, 5.460, 14.677 Å; angles 90.00, 90.00, 90.00 degrees
Space group I4/mmm (No. 139)
Symmetry-distinct sites (fractional):
Tb  0.000  0.000  0.000 [2 per cell]
Nd  0.000  0.000  0.254 [4 per cell]
Mg  0.000  0.500  0.113 [8 per cell]

crystal system	tetragonal
ΔE_f	0.1163	eV per atom
volume	437.5	Å³ per cell
total moment	0.0	μB/f.u.

=====

No. 6
Density functional theory data (PBE) for K5Rb2As2 after structural relaxation.

Cell lengths 6.490, 6.736, 12.038 Å; angles 93.12, 90.10, 101.04 degrees
Space group P-1 (No. 2)
Symmetry-distinct sites (fractional):
K  0.000  0.000  0.000 [1 per cell]
K  0.181  0.233  0.535 [2 per cell]
K  0.408  0.852  0.752 [2 per cell]
Rb  0.191  0.579  0.207 [2 per cell]
As  0.075  0.066  0.275 [2 per cell]

crystal system	triclinic
ΔE_f	-0.2200	eV per atom
volume	515.8	Å³ per cell
total moment	0.0	μB/f.u.

=====

No. 7
Density functional theory data (PBE) for Pm2CdRh after structural relaxation.

Cell lengths 3.600, 3.600, 7.726 Å; angles 90.00, 90.00, 90.00 degrees
Space group P4/mmm (No. 123)
Symmetry-distinct sites (fractional):
Pm  0.000  0.000  0.218 [2 per cell]
Cd  0.500  0.500  0.500 [1 per cell]
Rh  0.500  0.500  0.000 [1 per cell]

crystal system	tetragonal
offset from the most stable computed form	0.0	kJ per mole of atoms
ΔE_f	-0.5150	eV per atom
volume	100.1	Å³ per cell
total moment	0.0	μB/f.u.

=====

No. 8
Density functional theory data (PBE) for AlCuNi after structural relaxation.

Cell lengths 4.1067, 4.1067, 5.0183 Å; angles 90.00, 90.00, 120.00 degrees
Space group P6_3/mmc (No. 194)
Symmetry-distinct sites (fractional):
Al  0.3333  0.6667  0.2500 [2 per cell]
Cu  0.0000  0.0000  0.0000 [2 per cell]
Ni  0.3333  0.6667  0.7500 [2 per cell]

crystal system	hexagonal
offset from the most stable computed form	3.2	kJ per mole of atoms
ΔE_f	-0.3697	eV per atom
volume	73.3	Å³ per cell
total moment	0.0	μB/f.u.

=====

No. 9
Density functional theory data (PBE) for PmAg2GeSe4 after structural relaxation.

Cell lengths 7.883, 8.322, 11.542 Å; angles 90.00, 90.00, 90.00 degrees
Space group Imma (No. 74)
Symmetry-distinct sites (fractional):
Pm  0.000  0.000  0.000 [4 per cell]
Ag  0.000  0.000  0.500 [4 per cell]
Ag  0.250  0.250  0.250 [4 per cell]
Ge  0.250  0.250  0.750 [4 per cell]
Se  0.000  0.011  0.746 [8 per cell]
Se  0.242  0.250  0.507 [8 per cell]

crystal system	orthorhombic
volume	757.1	Å³ per cell
formation energy (no corrections)	-0.6155	eV/atom
total moment	0.0	μB/f.u.

=====

No. 10
Density functional theory data (PBE) for TaIn3Te after structural relaxation.

Cell lengths 5.672, 5.672, 5.672 Å; angles 90.00, 90.00, 90.00 degrees
Space group Pm-3m (No. 221)
Symmetry-distinct sites (fractional):
Ta  0.000  0.000  0.000 [1 per cell]
In  0.000  0.500  0.500 [3 per cell]
Te  0.500  0.500  0.500 [1 per cell]

crystal system	cubic
offset from the most stable computed form	72.0	kJ per mole of atoms
volume	182.5	Å³ per cell
formation energy (no corrections)	1.5112	eV/atom
total moment	3.3	μB/f.u.

=====

No. 11
Density functional theory data (PBE) for TbNdN after structural relaxation.

Cell lengths 4.752, 4.752, 7.832 Å; angles 90.00, 90.00, 90.00 degrees
Space group I4mm (No. 107)
Symmetry-distinct sites (fractional):
Tb  0.000  0.000  0.000 [2 per cell]
Nd  0.000  0.000  0.465 [2 per cell]
N  0.000  0.000  0.738 [2 per cell]

crystal system	tetragonal
offset from the most stable computed form	110.6	kJ per mole of atoms
volume	176.9	Å³ per cell
formation energy (no corrections)	0.1908	eV/atom
total moment	0.0	μB/f.u.

=====

No. 12
Density functional theory data (PBE) for Rb2PuInO6 after structural relaxation.

Cell lengths 8.523, 8.523, 8.523 Å; angles 90.00, 90.00, 90.00 degrees
Space group Fm-3m (No. 225)
Symmetry-distinct sites (fractional):
Rb  0.250  0.250  0.250 [8 per cell]
Pu  0.000  0.000  0.000 [4 per cell]
In  0.000  0.000  0.500 [4 per cell]
O  0.000  0.000  0.238 [24 per cell]

crystal system	cubic
volume	619.2	Å³ per cell
formation energy (no corrections)	-1.9818	eV/atom
total moment	1.0	μB/f.u.

=====

No. 13
Density functional theory data (PBE) for TlGaHg after structural relaxation.

Cell lengths 3.265, 6.050, 8.582 Å; angles 69.38, 86.84, 86.77 degrees
Space group P1 (No. 1)
Symmetry-distinct sites (fractional):
Tl  0.000  0.000  0.000 [1 per cell]
Tl  0.453  0.869  0.381 [1 per cell]
Ga  0.440  0.493  0.864 [1 per cell]
Ga  0.919  0.866  0.693 [1 per cell]
Hg  0.428  0.445  0.204 [1 per cell]
Hg  0.461  0.316  0.588 [1 per cell]

crystal system	triclinic
ΔE_f	0.0564	eV per atom
volume	158.3	Å³ per cell
total moment	0.0	μB/f.u.

=====

No. 14
Density functional theory data (PBE) for Ce2PmHfP4 after structural relaxation.

Cell lengths 6.906, 3.985, 6.922 Å; angles 90.00, 109.31, 90.00 degrees
Space group P2/m (No. 10)
Symmetry-distinct sites (fractional):
Ce  0.000  0.000  0.000 [1 per cell]
Ce  0.000  0.500  0.500 [1 per cell]
Pm  0.500  0.000  0.500 [1 per cell]
Hf  0.500  0.500  0.000 [1 per cell]
P  0.257  0.500  0.237 [2 per cell]
P  0.266  0.000  0.769 [2 per cell]

crystal system	monoclinic
ΔE_f	-1.4503	eV per atom
volume	179.8	Å³ per cell
total moment	0.6	μB/f.u.

=====

No. 15
Density functional theory data (PBE) for CrTeP2 after structural relaxation.

Cell lengths 2.990, 5.051, 10.332 Å; angles 90.00, 90.00, 90.00 degrees
Space group Immm (No. 71)
Symmetry-distinct sites (fractional):
Cr  0.000  0.000  0.000 [2 per cell]
Te  0.000  0.000  0.500 [2 per cell]
P  0.000  0.500  0.325 [4 per cell]

crystal system	orthorhombic
volume	156.0	Å³ per cell
formation energy (no corrections)	0.4458	eV/atom
total moment	1.7	μB/f.u.

=====

No. 16
Density functional theory data (PBE) for K2PtS after structural relaxation.

Cell lengths 12.030, 12.030, 4.549 Å; angles 90.00, 90.00, 90.00 degrees
Space group I-42d (No. 122)
Symmetry-distinct sites (fractional):
K  0.023  0.250  0.125 [8 per cell]
Pt  0.000  0.000  0.500 [4 per cell]
S  0.000  0.000  0.000 [4 per cell]

crystal system	tetragonal
volume	658.3	Å³ per cell
formation energy (no corrections)	-0.5239	eV/atom
total moment	0.0	μB/f.u.

=====

No. 17
Density functional theory data (PBE) for PrSc4S6 after structural relaxation.

Cell lengths 3.742, 12.194, 19.113 Å; angles 90.00, 90.00, 90.00 degrees
Space group Cmcm (No. 63)
Symmetry-distinct sites (fractional):
Pr  0.000  0.154  0.250 [4 per cell]
Sc  0.000  0.094  0.623 [8 per cell]
Sc  0.000  0.360  0.538 [8 per cell]
S  0.000  0.000  0.000 [4 per cell]
S  0.000  0.172  0.750 [4 per cell]
S  0.000  0.268  0.087 [8 per cell]
S  0.000  0.457  0.659 [8 per cell]

crystal system	orthorhombic
volume	872.0	Å³ per cell
formation energy (no corrections)	-1.9495	eV/atom
total moment	0.0	μB/f.u.

=====

No. 18
Density functional theory data (PBE) for PaCdInPb after structural relaxation.

Cell lengths 4.514, 4.703, 4.851 Å; angles 90.00, 90.00, 90.00 degrees
Space group Pmmm (No. 47)
Symmetry-distinct sites (fractional):
Pa  0.000  0.000  0.000 [1 per cell]
Cd  0.000  0.500  0.500 [1 per cell]
In  0.500  0.000  0.500 [1 per cell]
Pb  0.500  0.500  0.000 [1 per cell]

crystal system	orthorhombic
ΔE_f	-0.0401	eV per atom
volume	103.0	Å³ per cell
total moment	0.9	μB/f.u.

=====

No. 19
Density functional theory data (PBE) for CsK2ReI8 after structural relaxation.

Cell lengths 6.824, 7.922, 10.326 Å; angles 89.91, 71.99, 89.42 degrees
Space group P-1 (No. 2)
Symmetry-distinct sites (fractional):
Cs  0.000  0.000  0.000 [1 per cell]
K  0.308  0.496  0.315 [2 per cell]
Re  0.000  0.000  0.500 [1 per cell]
I  0.170  0.242  0.621 [2 per cell]
I  0.173  0.754  0.620 [2 per cell]
I  0.252  0.500  0.990 [2 per cell]
I  0.339  0.000  0.271 [2 per cell]

crystal system	triclinic
volume	530.9	Å³ per cell
formation energy (no corrections)	-0.7069	eV/atom
total moment	3.1	μB/f.u.

=====

No. 20
Density functional theory data (PBE) for CuGe2Se6 after structural relaxation.

Cell lengths 12.133, 11.143, 6.440 Å; angles 90.00, 99.31, 90.00 degrees
Space group C2/c (No. 15)
Symmetry-distinct sites (fractional):
Cu  0.000  0.108  0.250 [4 per cell]
Ge  0.193  0.418  0.335 [8 per cell]
Se  0.104  0.077  0.611 [8 per cell]
Se  0.117  0.398  0.659 [8 per cell]
Se  0.134  0.248  0.118 [8 per cell]

crystal system	monoclinic
volume	859.1	Å³ per cell
formation energy (no corrections)	-0.0414	eV/atom
total moment	0.0	μB/f.u.